# PBE with a Hubbard U Na3FePt3O8, optimized geometry
# E = -5.44 eV/atom
# SG = C2/m, No. 12
# calculated volume = 190.2 Å³ per cell
# crystal system = monoclinic
# density of states at the Fermi level = 1.5 states/eV/f.u.
data_Na3FePt3O8
_chemical_formula_sum 'Na3 Fe1 Pt3 O8'
_space_group_name_H-M_alt 'P 1'
_space_group_IT_number 1
_space_group_name_Hall 'P 1'
_cell_length_a 6.503
_cell_length_b 6.503
_cell_length_c 6.375
_cell_angle_alpha 118.71
_cell_angle_beta 118.71
_cell_angle_gamma 57.51
loop_
_atom_site_label
_atom_site_type_symbol
_atom_site_fract_x
_atom_site_fract_y
_atom_site_fract_z
Na1 Na 0.000 0.000 0.000
Na2 Na 0.000 0.500 0.000
Na3 Na 0.500 0.000 0.000
Fe1 Fe 0.000 0.000 0.500
Pt1 Pt 0.000 0.500 0.500
Pt2 Pt 0.500 0.000 0.500
Pt3 Pt 0.500 0.500 0.500
O1 O 0.223 0.709 0.678
O2 O 0.234 0.234 0.696
O3 O 0.243 0.243 0.284
O4 O 0.291 0.777 0.322
O5 O 0.709 0.223 0.678
O6 O 0.757 0.757 0.716
O7 O 0.766 0.766 0.304
O8 O 0.777 0.291 0.322